Record 1
CePu2Si2 | PBE | relaxed

Unit cell a=7.4932 b=7.4932 c=4.1195 alpha=90.00 beta=90.00 gamma=90.00
With the nearest neighbours (Å) after each atom.
Space group P4/mbm (No. 127)
Unique sites:
1 Ce 0.0000 0.0000 0.0000 (multiplicity 2)  4 Si 3.02
2 Pu 0.1785 0.3215 0.5000 (multiplicity 4)  6 Si 3.02-3.04
3 Si 0.1130 0.6130 0.0000 (multiplicity 4)  1 Si 2.40

Output
VASP energy	-9.4836	eV/atom
formation energy from raw total energies	-0.395	eV/atom

=====

Record 2
Pm2ScGe3Pt4 | PBE | relaxed

Unit cell a=4.2490 b=4.2490 c=10.9958 alpha=90.00 beta=90.00 gamma=90.00
With the nearest neighbours (Å) after each atom.
Space group P-4m2 (No. 115)
Unique sites:
1 Pm 0.0000 0.5000 0.2305 (multiplicity 2)  4 Ge 3.20, 8 Pt 3.30-3.31
2 Sc 0.0000 0.0000 0.5000 (multiplicity 1)  4 Pt 2.66
3 Ge 0.0000 0.5000 0.8700 (multiplicity 2)  5 Pt 2.46-2.56
4 Ge 0.5000 0.5000 0.5000 (multiplicity 1)  4 Pt 2.66
5 Pt 0.0000 0.0000 0.0000 (multiplicity 1)  4 Ge 2.56
6 Pt 0.0000 0.5000 0.6461 (multiplicity 2)  3 Ge 2.46-2.66, 2 Sc 2.66
7 Pt 0.5000 0.5000 0.0000 (multiplicity 1)  4 Ge 2.56

Output
E_form	-993	meV per atom
VASP energy	-6.3774	eV/atom

=====

Record 3
CaPmMgGa | PBE | relaxed

Unit cell a=3.6387 b=3.6387 c=8.2648 alpha=90.00 beta=90.00 gamma=90.00
With the nearest neighbours (Å) after each atom.
Space group P4mm (No. 99)
Unique sites:
1 Ca 0.0000 0.0000 0.0000 (multiplicity 1)  4 Ga 3.18, 4 Mg 3.45
2 Pm 0.0000 0.0000 0.4443 (multiplicity 1)  4 Ga 3.15, 4 Mg 3.45
3 Mg 0.5000 0.5000 0.7217 (multiplicity 1)  4 Pm 3.45, 4 Ca 3.45, 4 Mg 3.64
4 Ga 0.5000 0.5000 0.2252 (multiplicity 1)  4 Pm 3.15, 4 Ca 3.18

Output
E_form	-307	meV per atom
VASP energy	-3.1504	eV/atom

=====

Record 4
ScTcP2 | PBE | relaxed

Unit cell a=4.2256 b=4.2332 c=6.5557 alpha=90.00 beta=90.00 gamma=90.00
With the nearest neighbours (Å) after each atom.
Space group Cmmm (No. 65)
Unique sites:
1 Sc 0.0000 0.0000 0.0000 (multiplicity 2)  8 P 2.81, 4 Sc 2.99
2 Tc 0.0000 0.0000 0.5000 (multiplicity 2)  8 P 2.55-2.56
3 P 0.0000 0.5000 0.2814 (multiplicity 4)  4 Tc 2.55-2.56, 4 Sc 2.81

Output
E_form	-613	meV per atom
VASP energy	-7.4918	eV/atom